Record 1
A plane-wave DFT calculation with PBE-GGA was carried out for a geometry-optimized Pm4SiTe2 structure.

```
14
Lattice="-0.211 3.459 2.410 0.230 -5.823 4.680 14.517 0.741 0.208" Properties=species:S:1:pos:R:3 pbc="T T T"
Pm 1.894 -0.582 4.697
Pm 5.300 -0.409 4.746
Pm 12.642 -1.041 2.601
Pm 9.236 -1.215 2.552
Pm 10.897 -1.490 6.789
Pm 3.639 -0.133 0.510
Pm -0.106 1.729 1.205
Pm 7.153 2.100 1.309
Si 10.808 1.451 2.560
Si 3.728 -3.074 4.738
Te 6.297 -0.868 1.798
Te 13.502 -0.486 5.576
Te 1.034 -1.137 1.722
Te 8.239 -0.755 5.501
```

Values from the calculation:
DOS(E_F): 0.764 states/eV/atom
magnetic moment: 0.00 μB/f.u.
electronic total energy: -0.39234 Ry per atom
formation energy without anion corrections: -0.951 eV per atom


Record 2
A plane-wave DFT calculation with PBE-GGA was carried out for a geometry-optimized Pm2SiTe structure.

```
4
Lattice="-2.747 0.176 3.341 -3.806 -2.051 -0.217 0.873 -6.596 3.870" Properties=species:S:1:pos:R:3 pbc="T T T"
Si 0.000 0.000 0.000
Te -2.840 -4.235 3.497
Pm -4.177 -6.516 5.322
Pm -1.503 -1.955 1.671
```

Values from the calculation:
offset from the most stable computed form: 0 meV/atom
DOS(E_F): 0.306 states/eV/atom
magnetic moment: 0.00 μB/f.u.
electronic total energy: -0.41408 Ry per atom
formation energy without anion corrections: -1.117 eV per atom


Record 3
A plane-wave DFT calculation with PBE-GGA was carried out for a geometry-optimized PmSiTe2 structure.

```
4
Lattice="3.951 0.000 0.000 1.975 3.422 0.000 1.975 1.141 9.312" Properties=species:S:1:pos:R:3 pbc="T T T"
Si 3.951 2.281 4.656
Te 1.975 1.141 6.248
Te 5.926 3.422 3.064
Pm 0.000 0.000 0.000
```

Values from the calculation:
DOS(E_F): 0.537 states/eV/atom
magnetic moment: 0.00 μB/f.u.
electronic total energy: -0.30838 Ry per atom
formation energy without anion corrections: -0.081 eV per atom


Record 4
A plane-wave DFT calculation with PBE-GGA was carried out for a geometry-optimized Pm12Si6Te structure.

```
19
Lattice="8.803 0.000 0.000 -2.934 8.300 0.000 -2.934 -4.150 7.188" Properties=species:S:1:pos:R:3 pbc="T T T"
Pm -0.086 -2.490 5.821
Pm 0.616 3.239 1.367
Pm 2.319 0.911 5.821
Pm 3.021 6.640 1.367
Pm -2.319 5.497 2.121
Pm 2.848 0.354 2.121
Pm 0.086 3.796 5.067
Pm 5.253 -1.347 5.067
Pm 5.955 2.014 0.754
Pm -0.616 0.435 3.488
Pm 3.550 3.715 3.700
Pm -3.021 2.136 6.434
Si -0.674 0.476 6.363
Si 3.608 3.674 0.825
Si 0.674 5.749 2.769
Si 2.261 -1.599 4.419
Si 5.195 1.122 3.594
Si -2.261 3.028 3.594
Te 0.000 0.000 0.000
```

Values from the calculation:
DOS(E_F): 0.763 states/eV/atom
magnetic moment: 2.74 μB/f.u.
electronic total energy: -0.40135 Ry per atom
formation energy without anion corrections: -0.582 eV per atom


Record 5
A plane-wave DFT calculation with PBE-GGA was carried out for a geometry-optimized Pm3SiTe6 structure.

```
20
Lattice="-5.901 -3.674 2.484 4.062 -0.543 8.847 -4.974 8.367 0.559" Properties=species:S:1:pos:R:3 pbc="T T T"
Pm -2.762 3.765 9.717
Pm -7.445 3.636 9.370
Pm -3.514 3.377 4.852
Pm -4.763 -0.139 7.655
Pm -6.862 -1.366 3.357
Pm -2.179 -1.237 3.703
Si -3.313 6.458 2.308
Si -0.886 -0.681 8.482
Te -1.312 4.177 7.006
Te -4.970 3.037 7.600
Te -3.930 6.569 4.854
Te -2.647 0.557 9.979
Te -5.622 7.384 1.314
Te -6.924 3.949 4.045
Te 1.080 0.804 7.437
Te -0.257 -2.652 10.182
Te -3.623 3.931 1.682
Te -2.339 -2.081 6.807
Te -1.015 1.628 3.942
Te -4.673 0.488 4.536
```

Values from the calculation:
DOS(E_F): 0.377 states/eV/atom
magnetic moment: 0.00 μB/f.u.
electronic total energy: -0.35808 Ry per atom
formation energy without anion corrections: -1.019 eV per atom


Record 6
A plane-wave DFT calculation with PBE-GGA was carried out for a geometry-optimized Pm6SiTe2 structure.

```
9
Lattice="4.214 0.000 0.000 0.000 8.490 0.000 0.000 -4.245 7.354" Properties=species:S:1:pos:R:3 pbc="T T T"
Pm 2.107 5.027 0.000
Pm 2.107 1.730 2.998
Pm 2.107 5.976 4.356
Pm 0.000 2.074 0.000
Pm 0.000 3.209 5.561
Pm 0.000 7.454 1.792
Si 2.107 0.004 0.000
Te 0.000 -0.001 4.901
Te 0.000 4.245 2.453
```

Values from the calculation:
DOS(E_F): 1.281 states/eV/atom
magnetic moment: 0.00 μB/f.u.
electronic total energy: -0.38825 Ry per atom
formation energy without anion corrections: -0.815 eV per atom


Record 7
A plane-wave DFT calculation with PBE-GGA was carried out for a geometry-optimized Pm3SiTe structure.

```
10
Lattice="-2.571 -6.691 0.331 7.467 -2.739 2.634 -2.933 5.172 3.990" Properties=species:S:1:pos:R:3 pbc="T T T"
Pm 2.138 -6.430 3.474
Pm 1.288 -0.422 1.480
Pm 3.429 -3.069 3.308
Pm -1.465 -1.189 3.647
Pm -0.174 2.171 3.481
Pm 0.675 -3.837 5.475
Si 3.360 -4.865 5.547
Si -1.397 0.606 1.408
Te 1.607 -0.377 4.873
Te 0.357 -3.882 2.082
```

Values from the calculation:
offset from the most stable computed form: 0 meV/atom
DOS(E_F): 0.736 states/eV/atom
magnetic moment: 0.00 μB/f.u.
electronic total energy: -0.38053 Ry per atom
formation energy without anion corrections: -0.614 eV per atom


Record 8
A plane-wave DFT calculation with PBE-GGA was carried out for a geometry-optimized Pm5SiTe5 structure.

```
11
Lattice="6.257 0.000 0.000 -3.129 7.018 -0.078 0.000 -2.720 8.382" Properties=species:S:1:pos:R:3 pbc="T T T"
Pm 3.129 4.382 1.294
Pm 3.129 2.965 5.658
Pm 3.129 0.000 0.000
Pm 0.000 1.333 2.647
Pm 0.000 -0.084 7.011
Si 0.000 0.000 0.000
Te 3.129 1.483 2.789
Te 3.129 0.059 6.899
Te 0.000 -1.360 4.191
Te 0.000 4.239 1.405
Te 0.000 2.815 5.516
```

Values from the calculation:
DOS(E_F): 0.234 states/eV/atom
magnetic moment: 0.00 μB/f.u.
electronic total energy: -0.39896 Ry per atom
formation energy without anion corrections: -1.348 eV per atom


Record 9
A plane-wave DFT calculation with PBE-GGA was carried out for a geometry-optimized Pm2SiTe structure.

```
8
Lattice="4.311 0.000 0.000 0.000 6.176 0.000 0.000 0.000 8.875" Properties=species:S:1:pos:R:3 pbc="T T T"
Pm 0.000 0.000 7.516
Pm 0.000 0.000 3.460
Pm 2.155 3.088 5.416
Pm 2.155 3.088 1.359
Si 2.155 0.000 5.526
Si 0.000 3.088 3.349
Te 0.000 3.088 7.818
Te 2.155 0.000 1.058
```

Values from the calculation:
offset from the most stable computed form: 20 meV/atom
DOS(E_F): 0.311 states/eV/atom
magnetic moment: 0.00 μB/f.u.
electronic total energy: -0.41261 Ry per atom
formation energy without anion corrections: -1.097 eV per atom


Record 10
A plane-wave DFT calculation with PBE-GGA was carried out for a geometry-optimized Pm2SiTe structure.

```
4
Lattice="-2.035 -1.077 2.856 -2.203 -1.859 -2.270 4.553 -6.408 0.829" Properties=species:S:1:pos:R:3 pbc="T T T"
Si -2.119 -1.468 0.293
Te 0.158 -4.672 0.708
Pm 3.483 -4.901 0.634
Pm 1.071 -1.507 0.195
```

Values from the calculation:
offset from the most stable computed form: 318 meV/atom
DOS(E_F): 0.951 states/eV/atom
magnetic moment: 0.00 μB/f.u.
electronic total energy: -0.39073 Ry per atom
formation energy without anion corrections: -0.800 eV per atom


Record 11
A plane-wave DFT calculation with PBE-GGA was carried out for a geometry-optimized PmSi2Te6 structure.

```
18
Lattice="-5.087 5.687 -0.744 -3.938 1.299 8.588 4.248 7.916 3.201" Properties=species:S:1:pos:R:3 pbc="T T T"
Pm 1.670 8.283 3.874
Pm -6.448 6.620 7.171
Si -0.572 8.638 7.786
Si -0.429 4.417 2.820
Si -4.205 6.265 3.258
Si -4.348 10.485 8.225
Te -3.141 8.362 7.491
Te -5.437 8.368 4.010
Te -1.636 6.541 3.554
Te 0.659 6.535 7.035
Te -6.604 9.405 8.502
Te -5.123 4.780 5.071
Te 1.826 5.498 2.543
Te 0.346 10.123 5.974
Te -0.018 9.683 10.051
Te -1.071 3.302 0.613
Te -4.760 5.220 0.994
Te -3.707 11.601 10.432
```

Values from the calculation:
DOS(E_F): 0.635 states/eV/atom
magnetic moment: 0.00 μB/f.u.
electronic total energy: -0.30289 Ry per atom
formation energy without anion corrections: -0.294 eV per atom


Record 12
A plane-wave DFT calculation with PBE-GGA was carried out for a geometry-optimized Pm3SiTe structure.

```
5
Lattice="5.498 0.000 0.000 0.000 5.498 0.000 0.000 0.000 5.498" Properties=species:S:1:pos:R:3 pbc="T T T"
Si 0.000 0.000 0.000
Te 2.749 2.749 2.749
Pm 0.000 2.749 0.000
Pm 0.000 0.000 2.749
Pm 2.749 0.000 0.000
```

Values from the calculation:
offset from the most stable computed form: 218 meV/atom
DOS(E_F): 0.952 states/eV/atom
magnetic moment: 0.00 μB/f.u.
electronic total energy: -0.36452 Ry per atom
formation energy without anion corrections: -0.396 eV per atom


> Among the records above, which one has the highest DOS(E_F)?

Pm6SiTe2